[1]
Below is a geometry-optimized CaY structure, with properties calculated at the PBE level.

Output
Crystal system: orthorhombic
Formation energy from the elements in eV/atom: 0.3958

a = 3.751 Å, b = 12.870 Å, c = 9.852 Å
α = 90.00°, β = 90.00°, γ = 90.00°
Sites, in units of the cell vectors:
Y 0.000 0.217 0.852
Y 0.500 0.000 0.909
Ca 0.500 0.368 0.074
Y 0.000 0.783 0.852
Ca 0.500 0.868 0.574
Y 0.500 0.500 0.409
Ca 0.500 0.632 0.074
Ca 0.500 0.132 0.574
Ca 0.000 0.500 0.742
Y 0.000 0.717 0.352
Y 0.000 0.283 0.352
Ca 0.000 0.000 0.242

---

[2]
Below is a geometry-optimized MgCl2 structure, with properties calculated at the PBE level.

Output
Formation energy (no corrections) in eV/atom: -1.008
Crystal system: hexagonal

a = 6.604 Å, b = 6.604 Å, c = 13.912 Å
α = 90.00°, β = 90.00°, γ = 120.00°
Sites, in units of the cell vectors:
Mg 0.667 0.333 0.347
Cl 0.670 0.835 0.750
Cl 0.165 0.835 0.750
Mg 0.667 0.333 0.153
Cl 0.000 0.000 0.500
Cl 0.000 0.000 0.000
Cl 0.165 0.330 0.750
Mg 0.333 0.667 0.847
Cl 0.330 0.165 0.250
Cl 0.835 0.165 0.250
Cl 0.835 0.670 0.250
Mg 0.333 0.667 0.653

---

[3]
Below is a geometry-optimized ScInAgPd2 structure, with properties calculated at the PBE level.

Output
Crystal system: tetragonal
Formation energy from the elements in eV/atom: 0.3622

a = 4.938 Å, b = 4.971 Å, c = 4.938 Å
α = 90.00°, β = 90.00°, γ = 90.00°
Sites, in units of the cell vectors:
In 0.000 0.000 0.000
Sc 0.500 0.500 0.500
Ag 0.000 0.500 0.000
Pd 0.000 0.000 0.500
Pd 0.500 0.000 0.000

---

[4]
Below is a geometry-optimized Ba2Al4InAu3 structure, with properties calculated at the PBE level.

Output
Crystal system: tetragonal
Formation energy from the elements in eV/atom: -0.5184

a = 4.650 Å, b = 4.650 Å, c = 11.013 Å
α = 90.00°, β = 90.00°, γ = 90.00°
Sites, in units of the cell vectors:
Al 0.000 0.000 0.000
Au 0.500 0.000 0.882
Au 0.000 0.000 0.500
Ba 0.000 0.500 0.754
In 0.500 0.500 0.500
Au 0.000 0.500 0.118
Al 0.500 0.000 0.642
Al 0.000 0.500 0.358
Ba 0.500 0.000 0.246
Al 0.500 0.500 0.000

---

[5]
Below is a geometry-optimized NaTiInSi2 structure, with properties calculated at the PBE level.

Output
Formation energy (no corrections) in eV/atom: 0.260
Crystal system: tetragonal

a = 4.866 Å, b = 5.322 Å, c = 4.866 Å
α = 90.00°, β = 90.00°, γ = 90.00°
Sites, in units of the cell vectors:
Ti 0.000 0.000 0.000
Si 0.500 0.000 0.000
Na 0.500 0.500 0.500
Si 0.000 0.000 0.500
In 0.000 0.500 0.000

---

[6]
Below is a geometry-optimized CdGaSn2C structure, with properties calculated at the PBE level.

Output
Crystal system: tetragonal
Formation energy from the elements in eV/atom: 1.6204

a = 5.378 Å, b = 5.002 Å, c = 5.378 Å
α = 90.00°, β = 90.00°, γ = 90.00°
Each line ends with the local moment (μB).
Sites, in units of the cell vectors:
Ga 0.000 0.000 0.000  0.05
Sn 0.000 0.000 0.500  -0.04
Cd 0.000 0.500 0.000  0.01
Sn 0.500 0.000 0.000  -0.08
C 0.500 0.500 0.500  0.83

---

[7]
Below is a geometry-optimized K2CoMo structure, with properties calculated at the PBE level.

Output
Crystal system: tetragonal
Formation energy from the elements in eV/atom: 1.3383

a = 12.384 Å, b = 12.384 Å, c = 9.038 Å
α = 46.76°, β = 46.76°, γ = 90.00°
Each line ends with the local moment (μB).
Sites, in units of the cell vectors:
K 0.375 0.551 0.750  0.01
Co 0.250 0.750 0.500  -0.62
K 0.875 0.699 0.750  0.01
Mo 0.750 0.250 0.500  2.37
K 0.449 0.125 0.250  0.01
K 0.301 0.625 0.250  0.01
Co 0.500 0.500 0.000  -0.62
Mo 0.000 0.000 0.000  2.37

---

[8]
Below is a geometry-optimized CePCl structure, with properties calculated at the PBE level.

Output
Formation energy (no corrections) in eV/atom: -1.557
Crystal system: triclinic

a = 3.999 Å, b = 5.073 Å, c = 9.867 Å
α = 105.68°, β = 89.85°, γ = 113.20°
Each line ends with the local moment (μB).
Sites, in units of the cell vectors:
Cl 0.191 0.377 0.649  -0.01
P 0.564 0.128 0.925  -0.02
Ce 0.172 0.346 0.160  0.82
Cl 0.809 0.623 0.351  -0.01
Ce 0.828 0.654 0.840  0.82
P 0.436 0.872 0.075  -0.02

---

[9]
Below is a geometry-optimized LiPaAs2 structure, with properties calculated at the PBE level.

Output
Crystal system: trigonal
Formation energy from the elements in eV/atom: -0.7663

a = 4.139 Å, b = 4.139 Å, c = 6.845 Å
α = 72.40°, β = 72.40°, γ = 60.00°
Sites, in units of the cell vectors:
As 0.084 0.084 0.748
Li 0.490 0.490 0.530
As 0.256 0.256 0.233
Pa 0.670 0.670 0.990

---

[10]
Below is a geometry-optimized TaCd2Mo structure, with properties calculated at the PBE level.

Output
Crystal system: tetragonal
Formation energy from the elements in eV/atom: 0.3056

a = 2.817 Å, b = 2.817 Å, c = 9.453 Å
α = 90.00°, β = 90.00°, γ = 90.00°
Sites, in units of the cell vectors:
Cd 0.500 0.500 0.260
Ta 0.500 0.500 0.744
Cd 0.000 0.000 0.994
Mo 0.000 0.000 0.501

---

[11]
Below is a geometry-optimized TlZn2Cl structure, with properties calculated at the PBE level.

Output
Formation energy (no corrections) in eV/atom: -0.190
Crystal system: monoclinic

a = 4.341 Å, b = 4.341 Å, c = 7.928 Å
α = 72.36°, β = 72.36°, γ = 45.46°
Sites, in units of the cell vectors:
Zn 0.192 0.192 0.209
Cl 0.595 0.595 0.449
Tl 0.757 0.757 0.791
Zn 0.956 0.956 0.051

---

[12]
Below is a geometry-optimized CuAg2Ge2 structure, with properties calculated at the PBE level.

Output
Crystal system: tetragonal
Formation energy from the elements in eV/atom: 0.3484

a = 6.902 Å, b = 6.902 Å, c = 3.887 Å
α = 90.00°, β = 90.00°, γ = 90.00°
Sites, in units of the cell vectors:
Ge 0.158 0.658 0.500
Cu 0.500 0.500 0.000
Cu 0.000 0.000 0.000
Ge 0.658 0.842 0.500
Ag 0.853 0.647 0.000
Ge 0.342 0.158 0.500
Ge 0.842 0.342 0.500
Ag 0.353 0.853 0.000
Ag 0.647 0.147 0.000
Ag 0.147 0.353 0.000

---

[13]
Below is a geometry-optimized AlHg5 structure, with properties calculated at the PBE level.

Output
Crystal system: hexagonal
Formation energy from the elements in eV/atom: 0.2808

a = 5.906 Å, b = 5.906 Å, c = 5.686 Å
α = 90.00°, β = 90.00°, γ = 120.00°
Sites, in units of the cell vectors:
Hg 0.333 0.667 0.000
Hg 0.000 0.500 0.500
Hg 0.500 0.500 0.500
Hg 0.667 0.333 0.000
Al 0.000 0.000 0.000
Hg 0.500 0.000 0.500

---

[14]
Below is a geometry-optimized Ni2HPd2 structure, with properties calculated at the PBE level.

Output
Total energy in Ry per atom: -0.3565
Crystal system: tetragonal

a = 5.055 Å, b = 5.055 Å, c = 4.566 Å
α = 90.00°, β = 90.00°, γ = 90.00°
Each line ends with the local moment (μB).
Sites, in units of the cell vectors:
Pd 0.821 0.321 0.500  0.14
Pd 0.679 0.821 0.500  0.14
Pd 0.321 0.179 0.500  0.14
Ni 0.827 0.673 0.000  0.40
Ni 0.673 0.173 0.000  0.41
Ni 0.327 0.827 0.000  0.41
H 0.500 0.500 0.000  -0.01
Pd 0.179 0.679 0.500  0.14
H 0.000 0.000 0.000  -0.01
Ni 0.173 0.327 0.000  0.40

---

[15]
Below is a geometry-optimized Mg6GaHg structure, with properties calculated at the PBE level.

Output
Crystal system: tetragonal
Formation energy from the elements in eV/atom: -0.1169

a = 4.355 Å, b = 4.355 Å, c = 8.871 Å
α = 90.00°, β = 90.00°, γ = 90.00°
Sites, in units of the cell vectors:
Mg 0.500 0.000 0.745
Hg 0.000 0.000 0.000
Mg 0.500 0.000 0.255
Ga 0.000 0.000 0.500
Mg 0.000 0.500 0.745
Mg 0.000 0.500 0.255
Mg 0.500 0.500 0.500
Mg 0.500 0.500 0.000

---

[16]
Below is a geometry-optimized MnInCo2C structure, with properties calculated at the PBE level.

Output
Crystal system: tetragonal
Formation energy from the elements in eV/atom: 0.0220

a = 3.890 Å, b = 3.890 Å, c = 3.850 Å
α = 90.00°, β = 90.00°, γ = 90.00°
Each line ends with the local moment (μB).
Sites, in units of the cell vectors:
Co 0.500 0.000 0.000  0.67
In 0.500 0.500 0.500  -0.07
Co 0.000 0.500 0.000  0.67
Mn 0.000 0.000 0.500  1.80
C 0.000 0.000 0.000  -0.07

---

[17]
Below is a geometry-optimized PmPt structure, with properties calculated at the PBE level.

Output
Crystal system: cubic
Formation energy from the elements in eV/atom: -1.0668

a = 4.172 Å, b = 4.172 Å, c = 4.172 Å
α = 60.00°, β = 60.00°, γ = 60.00°
Sites, in units of the cell vectors:
Pt 0.000 0.000 0.000
Pm 0.500 0.500 0.500

---

[18]
Below is a geometry-optimized Ho4AsS3 structure, with properties calculated at the PBE level.

Output
Formation energy (no corrections) in eV/atom: -1.886
Crystal system: cubic

a = 5.573 Å, b = 5.573 Å, c = 5.573 Å
α = 90.00°, β = 90.00°, γ = 90.00°
Sites, in units of the cell vectors:
Ho 0.000 0.500 0.000
Ho 0.500 0.000 0.000
S 0.000 0.500 0.500
S 0.500 0.000 0.500
Ho 0.500 0.500 0.500
As 0.000 0.000 0.000
S 0.500 0.500 0.000
Ho 0.000 0.000 0.500

---

[19]
Below is a geometry-optimized La3Er2Th structure, with properties calculated at the PBE level.

Output
Crystal system: orthorhombic
Formation energy from the elements in eV/atom: 0.1710

a = 4.961 Å, b = 4.961 Å, c = 17.078 Å
α = 98.37°, β = 98.37°, γ = 89.89°
Sites, in units of the cell vectors:
Er 0.252 0.748 0.000
Th 0.674 0.674 0.347
La 0.812 0.812 0.162
La 0.188 0.188 0.838
Th 0.326 0.326 0.653
La 0.831 0.831 0.663
La 0.650 0.650 0.838
La 0.350 0.350 0.162
Er 0.750 0.250 0.500
Er 0.748 0.252 0.000
Er 0.250 0.750 0.500
La 0.169 0.169 0.337

---

[20]
Below is a geometry-optimized MgTlTc structure, with properties calculated at the PBE level.

Output
Crystal system: orthorhombic
Formation energy from the elements in eV/atom: 0.4802

a = 7.075 Å, b = 7.060 Å, c = 2.966 Å
α = 78.18°, β = 77.60°, γ = 24.23°
Each line ends with the local moment (μB).
Sites, in units of the cell vectors:
Tc 0.340 0.340 0.660  0.52
Tl 0.679 0.679 0.321  -0.01
Mg 0.981 0.981 0.019  0.00

---

[21]
Below is a geometry-optimized Nd2HoTh structure, with properties calculated at the PBE level.

Output
Crystal system: tetragonal
Formation energy from the elements in eV/atom: 0.0522

a = 5.119 Å, b = 5.102 Å, c = 5.102 Å
α = 90.00°, β = 90.00°, γ = 90.00°
Sites, in units of the cell vectors:
Nd 0.000 0.500 0.000
Ho 0.500 0.500 0.500
Nd 0.000 0.000 0.500
Th 0.500 0.000 0.000

---

[22]
Below is a geometry-optimized SrYPO2 structure, with properties calculated at the PBE level.

Output
Formation energy (no corrections) in eV/atom: -0.772
Crystal system: tetragonal

a = 4.386 Å, b = 4.386 Å, c = 5.617 Å
α = 90.00°, β = 90.00°, γ = 90.00°
Each line ends with the local moment (μB).
Sites, in units of the cell vectors:
Y 0.500 0.500 0.500  -0.04
Sr 0.000 0.000 0.000  0.11
P 0.000 0.000 0.500  0.14
O 0.000 0.500 0.000  0.54
O 0.500 0.000 0.000  0.54

---

[23]
Below is a geometry-optimized LuScI structure, with properties calculated at the PBE level.

Output
Formation energy (no corrections) in eV/atom: -0.092
Crystal system: trigonal

a = 3.694 Å, b = 5.110 Å, c = 5.110 Å
α = 120.00°, β = 90.00°, γ = 90.00°
Sites, in units of the cell vectors:
Lu 0.681 0.667 0.333
I 0.142 0.000 0.000
Sc 0.176 0.333 0.667

---

[24]
Below is a geometry-optimized Y2Sn2Ru structure, with properties calculated at the PBE level.

Output
Crystal system: orthorhombic
Formation energy from the elements in eV/atom: -0.5687

a = 6.214 Å, b = 6.335 Å, c = 7.772 Å
α = 114.05°, β = 113.57°, γ = 90.00°
Sites, in units of the cell vectors:
Y 0.840 0.547 0.679
Y 0.660 0.868 0.321
Sn 0.915 0.101 0.830
Y 0.160 0.453 0.321
Y 0.340 0.132 0.679
Sn 0.585 0.271 0.170
Sn 0.085 0.899 0.170
Sn 0.415 0.729 0.830
Ru 0.250 0.500 0.000
Ru 0.750 0.500 0.000

---

[25]
Below is a geometry-optimized AcYRhI structure, with properties calculated at the PBE level.

Output
Formation energy (no corrections) in eV/atom: -0.965
Crystal system: trigonal

a = 4.219 Å, b = 4.219 Å, c = 8.677 Å
α = 89.99°, β = 104.08°, γ = 120.00°
Sites, in units of the cell vectors:
Rh 0.314 0.555 0.885
I 0.951 0.374 0.340
Y 0.095 0.945 0.055
Ac 0.517 0.157 0.690

---

[26]
Below is a geometry-optimized TbPu2Hg8 structure, with properties calculated at the PBE level.

Output
Crystal system: orthorhombic
Formation energy from the elements in eV/atom: -0.1448

a = 5.236 Å, b = 7.590 Å, c = 8.498 Å
α = 116.50°, β = 107.94°, γ = 90.00°
Each line ends with the local moment (μB).
Sites, in units of the cell vectors:
Pu 0.201 0.701 0.402  5.47
Hg 0.640 0.843 0.281  0.01
Hg 0.640 0.438 0.280  0.01
Hg 0.846 0.846 0.691  0.00
Pu 0.799 0.299 0.598  5.47
Tb 0.500 0.000 0.000  -0.05
Hg 0.360 0.562 0.720  0.01
Hg 0.000 0.292 0.000  0.00
Hg 0.360 0.157 0.719  0.01
Hg 0.154 0.154 0.309  0.00
Hg 0.000 0.708 0.000  0.00

---

no.,total magnetization (μB per cell)
1,0.0
2,0.1
3,0.0
4,0.0
5,0.0
6,1.6
7,5.3
8,1.9
9,0.0
10,0.0
11,0.0
12,0.0
13,0.0
14,2.1
15,0.0
16,2.9
17,0.0
18,0.0
19,0.0
20,0.5
21,0.0
22,1.6
23,0.0
24,0.0
25,0.0
26,11.4